(1)
This record from Alexandria via LeMat-Bulk describes a geometry-optimized Be2AlCuCl structure. The functional is PBE. Values from VASP.

Cell and atoms, written as Quantum ESPRESSO input:
```
&SYSTEM
  ibrav = 0, nat = 5, ntyp = 4
/
ATOMIC_SPECIES
Be 9.01 Be.upf
Al 26.98 Al.upf
Cu 63.55 Cu.upf
Cl 35.45 Cl.upf
CELL_PARAMETERS angstrom
4.091 0.000 0.000
0.000 4.091 0.000
0.000 0.000 4.678
ATOMIC_POSITIONS angstrom
Be 0.000 2.046 0.000
Be 2.046 0.000 0.000
Al 0.000 0.000 2.339
Cu 2.046 2.046 2.339
Cl 2.046 2.046 0.000
```

Space group: P4/mmm, No. 123

***

(2)
This record from Alexandria via LeMat-Bulk describes a geometry-optimized Li2BeAlCl structure. The functional is PBE. Values from VASP.

Cell and atoms, written as Quantum ESPRESSO input:
```
&SYSTEM
  ibrav = 0, nat = 5, ntyp = 4
/
ATOMIC_SPECIES
Li 6.94 Li.upf
Be 9.01 Be.upf
Al 26.98 Al.upf
Cl 35.45 Cl.upf
CELL_PARAMETERS angstrom
4.409 0.000 0.000
0.000 4.409 0.000
0.000 0.000 4.575
ATOMIC_POSITIONS angstrom
Li 0.000 2.204 0.000
Li 2.204 0.000 0.000
Be 0.000 0.000 2.287
Al 2.204 2.204 2.287
Cl 0.000 0.000 0.000
```

Space group: P4/mmm, No. 123

***

| no. | mass density (g/cm³) | ΔE_f (raw) (eV per atom) | magnetic moment (μB/atom) |
| --- | --- | --- | --- |
| 1 | 3.05 | 1.019 | 0.000 |
| 2 | 1.59 | 0.054 | 0.000 |